Record 1
{
  "formula": "HgIr2Os",
  "functional": "GGA-PBE",
  "state": "optimized geometry",
  "sg": "I-42d (122)",
  "formation_enthalpy_0k_ev_per_atom": 0.925,
  "lattice_angstrom": [[7.301, 0.000, 0.000], [0.000, 7.301, 0.000], [3.650, 3.650, 2.712]],
  "species": ["Os", "Ir", "Hg", "Ir", "Os", "Hg", "Ir", "Ir"],
  "fractional_positions": [[0.500, 0.500, 0.000], [0.167, 0.625, 0.250], [0.750, 0.250, 0.500], [0.875, 0.833, 0.750], [0.250, 0.750, 0.500], [0.000, 0.000, 0.000], [0.375, 0.417, 0.750], [0.583, 0.125, 0.250]]
}

Record 2
{
  "formula": "MnTeS",
  "functional": "GGA-PBE",
  "state": "optimized geometry",
  "sg": "P3m1 (156)",
  "e_form_raw_ev_per_atom": -0.37,
  "relative_energy_mev_per_atom": 12,
  "lattice_angstrom": [[3.560, 0.000, 0.000], [-1.780, 3.083, 0.000], [0.000, 0.000, 6.309]],
  "species": ["S", "Mn", "Te"],
  "fractional_positions": [[0.333, 0.667, 0.546], [0.667, 0.333, 0.366], [0.000, 0.000, 0.088]]
}

| no. | density of states at the Fermi level (states/eV per atom) |
| --- | --- |
| 1 | 1.257 |
| 2 | 0.327 |